No. 1
Here is MgCuBr2 after structural relaxation from the Alexandria database. Energies are from PBE.

a b c (Å): 6.288 6.288 5.127
angles (deg): 82.05 82.05 33.13
Sites, in units of the cell vectors:
1 Br 0.939 0.939 0.248
2 Br 0.665 0.665 0.705
3 Mg 0.273 0.273 0.346
4 Cu 0.623 0.623 0.201

Calculated values
- Final energy: -11.03 eV per cell
- Formation energy from raw total energies: -0.50 eV per atom
- Space-group type: Cm

---

No. 2
Here is EuInNi2 after structural relaxation from the Alexandria database. Energies are from PBE.

a b c (Å): 4.424 4.424 5.525
angles (deg): 66.40 66.40 60.00
Sites, in units of the cell vectors:
1 Ni 0.692 0.692 0.924
2 Ni 0.308 0.308 0.076
3 In 0.000 0.000 0.000
4 Eu 0.500 0.500 0.500

Calculated values
- Calculated formation energy: -0.23 eV per atom
- Final energy: -25.48 eV per cell
- Space-group type: R-3m

---

No. 3
Here is Tm3Zr2Hg2 after structural relaxation from the Alexandria database. Energies are from PBE.

a b c (Å): 4.804 3.297 11.384
angles (deg): 90.00 77.82 90.00
Sites, in units of the cell vectors:
1 Tm 0.148 0.000 0.703
2 Tm 0.852 0.000 0.297
3 Tm 0.000 0.000 0.000
4 Hg 0.425 0.500 0.150
5 Hg 0.575 0.500 0.850
6 Zr 0.277 0.500 0.445
7 Zr 0.723 0.500 0.555

Calculated values
- Calculated formation energy: -0.13 eV per atom
- Final energy: -32.02 eV per cell
- Space-group type: Cmmm

---

No. 4
Here is TbDyHoEr2 after structural relaxation from the Alexandria database. Energies are from PBE.

a b c (Å): 7.149 8.288 7.014
angles (deg): 126.21 90.00 90.00
Sites, in units of the cell vectors:
1 Ho 0.250 0.999 0.999
2 Ho 0.750 0.001 0.001
3 Tb 0.750 0.276 0.552
4 Tb 0.250 0.724 0.448
5 Er 0.000 0.310 0.000
6 Er 0.500 0.310 0.000
7 Er 0.500 0.690 0.000
8 Er 0.000 0.690 0.000
9 Dy 0.750 0.724 0.448
10 Dy 0.250 0.276 0.552

Calculated values
- Calculated formation energy: 0.40 eV per atom
- Final energy: -41.85 eV per cell
- Space-group type: Cmcm

---

No. 5
Here is Ca2TaCu after structural relaxation from the Alexandria database. Energies are from PBE.

a b c (Å): 9.987 9.987 9.987
angles (deg): 19.97 19.97 19.97
Sites, in units of the cell vectors:
1 Ta 0.768 0.768 0.768
2 Cu 0.490 0.490 0.490
3 Ca 0.012 0.012 0.012
4 Ca 0.230 0.230 0.230

Calculated values
- Calculated formation energy: 0.56 eV per atom
- Final energy: -17.72 eV per cell
- Space-group type: R3m

---

No. 6
Here is Sn3SbAs2 after structural relaxation from the Alexandria database. Energies are from PBE.

a b c (Å): 4.353 4.349 9.139
angles (deg): 102.15 102.15 95.57
Sites, in units of the cell vectors:
1 Sb 0.395 0.476 0.874
2 Sn 0.652 0.563 0.219
3 Sn 0.307 0.217 0.529
4 Sn 0.944 0.928 0.874
5 As 0.073 0.135 0.208
6 As 0.735 0.797 0.540

Calculated values
- Final energy: -25.59 eV per cell
- Formation energy from raw total energies: -0.03 eV per atom
- Space-group type: P1

---

No. 7
Here is Sm3CoSn3 after structural relaxation from the Alexandria database. Energies are from PBE.

a b c (Å): 4.494 6.092 14.391
angles (deg): 84.53 81.02 68.35
Sites, in units of the cell vectors:
1 Sm 0.597 0.726 0.081
2 Sm 0.479 0.658 0.384
3 Sm 0.256 0.247 0.240
4 Sm 0.403 0.274 0.919
5 Sm 0.521 0.342 0.616
6 Sm 0.744 0.753 0.760
7 Sn 0.127 0.822 0.923
8 Sn 0.156 0.226 0.462
9 Sn 0.873 0.178 0.077
10 Sn 0.844 0.774 0.538
11 Sn 0.036 0.170 0.759
12 Sn 0.964 0.830 0.241
13 Co 0.246 0.899 0.610
14 Co 0.754 0.101 0.390

Calculated values
- Calculated formation energy: -0.63 eV per atom
- Final energy: -75.31 eV per cell
- Space-group type: C2/m

---

No. 8
Here is HoTm2UN4 after structural relaxation from the Alexandria database. Energies are from PBE.

a b c (Å): 3.418 5.919 5.912
angles (deg): 109.01 90.00 90.00
Sites, in units of the cell vectors:
1 N 0.000 0.762 0.244
2 N 0.000 0.238 0.756
3 N 0.500 0.245 0.248
4 N 0.500 0.755 0.752
5 U 0.000 0.000 0.000
6 Tm 0.000 0.500 0.500
7 Tm 0.500 0.000 0.500
8 Ho 0.500 0.500 0.000

Calculated values
- Final energy: -71.51 eV per cell
- Formation energy from raw total energies: -1.67 eV per atom
- Space-group type: P2/m

---

No. 9
Here is PrMg2TlSn after structural relaxation from the Alexandria database. Energies are from PBE.

a b c (Å): 4.752 6.161 9.789
angles (deg): 90.00 90.00 112.68
Sites, in units of the cell vectors:
1 Tl 0.000 0.000 0.000
2 Tl 0.000 0.000 0.500
3 Sn 0.170 0.340 0.250
4 Sn 0.830 0.660 0.750
5 Pr 0.450 0.901 0.250
6 Pr 0.550 0.099 0.750
7 Mg 0.264 0.528 0.588
8 Mg 0.736 0.472 0.412
9 Mg 0.736 0.472 0.088
10 Mg 0.264 0.528 0.912

Calculated values
- Calculated formation energy: -0.30 eV per atom
- Final energy: -31.68 eV per cell
- Space-group type: Cmcm

---

No. 10
Here is Tb2Pm6HoEr after structural relaxation from the Alexandria database. Energies are from PBE.

a b c (Å): 9.638 8.914 8.914
angles (deg): 117.93 93.97 93.97
Sites, in units of the cell vectors:
1 Er 0.250 0.974 0.026
2 Er 0.750 0.026 0.974
3 Pm 0.119 0.709 0.493
4 Pm 0.381 0.507 0.291
5 Pm 0.881 0.291 0.507
6 Pm 0.313 0.987 0.433
7 Pm 0.687 0.013 0.567
8 Pm 0.619 0.493 0.709
9 Pm 0.554 0.760 0.119
10 Pm 0.187 0.567 0.013
11 Pm 0.446 0.240 0.881
12 Pm 0.946 0.881 0.240
13 Pm 0.813 0.433 0.987
14 Pm 0.054 0.119 0.760
15 Tb 0.545 0.199 0.298
16 Tb 0.045 0.298 0.199
17 Tb 0.955 0.702 0.801
18 Tb 0.455 0.801 0.702
19 Ho 0.250 0.410 0.590
20 Ho 0.750 0.590 0.410

Calculated values
- Calculated formation energy: 0.12 eV per atom
- Final energy: -91.47 eV per cell
- Space-group type: C2/c

---

No. 11
Here is CeYTm2S6 after structural relaxation from the Alexandria database. Energies are from PBE.

a b c (Å): 6.943 6.943 7.337
angles (deg): 61.77 61.76 60.00
Sites, in units of the cell vectors:
1 Tm 0.013 0.013 0.960
2 Tm 0.517 0.517 0.450
3 S 0.620 0.227 0.246
4 S 0.227 0.907 0.246
5 S 0.390 0.725 0.747
6 S 0.907 0.620 0.246
7 S 0.137 0.390 0.747
8 S 0.725 0.137 0.747
9 Ce 0.809 0.809 0.572
10 Y 0.315 0.315 0.055

Calculated values
- Final energy: -66.34 eV per cell
- Formation energy from raw total energies: -2.02 eV per atom
- Space-group type: R3

---

No. 12
Here is Cr2InP after structural relaxation from the Alexandria database. Energies are from PBE.

a b c (Å): 4.595 4.595 3.076
angles (deg): 89.67 89.67 101.51
Sites, in units of the cell vectors:
1 P 0.000 0.500 0.500
2 Cr 0.000 0.000 0.000
3 Cr 0.500 0.500 0.000
4 In 0.500 0.000 0.500

Calculated values
- Calculated formation energy: 0.43 eV per atom
- Final energy: -25.67 eV per cell
- Space-group type: C2/m

---

No. 13
Here is CaNd2Ho after structural relaxation from the Alexandria database. Energies are from PBE.

a b c (Å): 3.655 3.655 12.385
angles (deg): 81.51 81.51 60.00
Sites, in units of the cell vectors:
1 Nd 0.078 0.078 0.765
2 Nd 0.255 0.255 0.235
3 Ca 0.500 0.500 0.500
4 Ho 0.667 0.667 0.000

Calculated values
- Calculated formation energy: 0.04 eV per atom
- Final energy: -15.96 eV per cell
- Space-group type: R3m

---

No. 14
Here is ScUSn after structural relaxation from the Alexandria database. Energies are from PBE.

a b c (Å): 3.651 5.314 8.307
angles (deg): 102.71 90.00 110.09
Sites, in units of the cell vectors:
1 Sn 0.907 0.814 0.253
2 Sn 0.093 0.186 0.747
3 Sc 0.166 0.333 0.126
4 Sc 0.834 0.667 0.874
5 U 0.336 0.672 0.549
6 U 0.664 0.328 0.451

Calculated values
- Calculated formation energy: -0.21 eV per atom
- Final energy: -44.51 eV per cell
- Space-group type: C2/m

---

No. 15
Here is Nd2HoTmSe5 after structural relaxation from the Alexandria database. Energies are from PBE.

a b c (Å): 5.066 5.066 10.666
angles (deg): 90.00 90.00 90.00
Sites, in units of the cell vectors:
1 Se 0.000 0.000 0.754
2 Se 0.000 0.000 0.246
3 Se 0.500 0.500 0.000
4 Se 0.000 0.500 0.500
5 Se 0.500 0.000 0.500
6 Nd 0.500 0.500 0.696
7 Nd 0.500 0.500 0.304
8 Ho 0.000 0.000 0.000
9 Tm 0.000 0.000 0.500

Calculated values
- Final energy: -47.58 eV per cell
- Formation energy from raw total energies: -1.29 eV per atom
- Space-group type: P4/mmm

---

No. 16
Here is NaMgBeS2 after structural relaxation from the Alexandria database. Energies are from PBE.

a b c (Å): 4.857 6.418 6.764
angles (deg): 95.46 90.00 90.00
Sites, in units of the cell vectors:
1 S 0.264 0.233 0.063
2 S 0.736 0.767 0.937
3 S 0.736 0.233 0.563
4 S 0.264 0.767 0.437
5 Mg 0.448 0.000 0.750
6 Mg 0.552 0.000 0.250
7 Na 0.830 0.500 0.250
8 Na 0.170 0.500 0.750
9 Be 0.000 0.000 0.000
10 Be 0.000 0.000 0.500

Calculated values
- Final energy: -36.65 eV per cell
- Formation energy from raw total energies: -0.69 eV per atom
- Space-group type: P2/c

---

No. 17
Here is PuMgRu after structural relaxation from the Alexandria database. Energies are from PBE.

a b c (Å): 3.125 4.832 8.243
angles (deg): 90.03 100.83 89.94
Sites, in units of the cell vectors:
1 Pu 0.848 0.526 0.384
2 Pu 0.012 0.026 0.709
3 Mg 0.144 0.525 0.975
4 Mg 0.716 0.025 0.118
5 Ru 0.363 0.026 0.414
6 Ru 0.497 0.526 0.679

Calculated values
- Calculated formation energy: -0.09 eV per atom
- Final energy: -50.97 eV per cell
- Space-group type: P2_1

---

No. 18
Here is AlFePb2 after structural relaxation from the Alexandria database. Energies are from PBE.

a b c (Å): 5.110 5.110 5.110
angles (deg): 60.00 60.00 60.00
Sites, in units of the cell vectors:
1 Fe 0.750 0.750 0.750
2 Pb 0.000 0.000 0.000
3 Pb 0.250 0.250 0.250
4 Al 0.500 0.500 0.500

Calculated values
- Calculated formation energy: 0.63 eV per atom
- Final energy: -17.11 eV per cell
- Space-group type: F-43m

---

No. 19
Here is CoAu2Se after structural relaxation from the Alexandria database. Energies are from PBE.

a b c (Å): 4.611 4.611 4.611
angles (deg): 60.00 60.00 60.00
Sites, in units of the cell vectors:
1 Au 0.250 0.250 0.250
2 Au 0.000 0.000 0.000
3 Se 0.750 0.750 0.750
4 Co 0.500 0.500 0.500

Calculated values
- Final energy: -15.42 eV per cell
- Formation energy from raw total energies: 0.43 eV per atom
- Space-group type: F-43m

---

No. 20
Here is Li2TmTh after structural relaxation from the Alexandria database. Energies are from PBE.

a b c (Å): 3.652 3.652 7.352
angles (deg): 90.00 90.00 90.00
Sites, in units of the cell vectors:
1 Li 0.000 0.000 0.758
2 Li 0.000 0.000 0.242
3 Tm 0.500 0.500 0.000
4 Th 0.500 0.500 0.500

Calculated values
- Calculated formation energy: 0.22 eV per atom
- Final energy: -14.83 eV per cell
- Space-group type: P4/mmm

---

No. 21
Here is CdSi2Rh after structural relaxation from the Alexandria database. Energies are from PBE.

a b c (Å): 2.879 2.879 8.493
angles (deg): 90.00 90.24 90.00
Sites, in units of the cell vectors:
1 Rh 0.123 0.500 0.015
2 Cd 0.627 0.000 0.265
3 Si 0.613 0.000 0.584
4 Si 0.621 0.000 0.862

Calculated values
- Final energy: -19.79 eV per cell
- Formation energy from raw total energies: -0.17 eV per atom
- Space-group type: Pm

---

No. 22
Here is Ac2Ag3Au4 after structural relaxation from the Alexandria database. Energies are from PBE.

a b c (Å): 5.691 5.648 8.046
angles (deg): 79.74 69.29 59.75
Sites, in units of the cell vectors:
1 Ag 0.000 0.500 0.000
2 Ag 0.000 0.000 0.000
3 Ag 0.500 0.500 0.000
4 Au 0.333 0.671 0.663
5 Au 0.996 0.671 0.337
6 Au 0.667 0.329 0.337
7 Au 0.004 0.329 0.663
8 Ac 0.356 0.000 0.289
9 Ac 0.644 0.000 0.711

Calculated values
- Calculated formation energy: -0.49 eV per atom
- Final energy: -34.31 eV per cell
- Space-group type: Fmmm

---

No. 23
Here is MnCuSi2 after structural relaxation from the Alexandria database. Energies are from PBE.

a b c (Å): 6.043 4.378 2.594
angles (deg): 89.93 64.70 124.31
Sites, in units of the cell vectors:
1 Cu 0.000 0.500 0.500
2 Si 0.500 0.000 0.500
3 Si 0.000 0.000 0.000
4 Mn 0.500 0.500 0.000

Calculated values
- Final energy: -24.07 eV per cell
- Formation energy from raw total energies: 0.01 eV per atom
- Space-group type: Cmmm

---

No. 24
Here is BaLiSnO3 after structural relaxation from the Alexandria database. Energies are from PBE.

a b c (Å): 5.732 5.732 6.858
angles (deg): 74.16 74.16 74.54
Sites, in units of the cell vectors:
1 Ba 0.312 0.312 0.124
2 Ba 0.688 0.688 0.876
3 O 0.275 0.798 0.197
4 O 0.798 0.275 0.197
5 O 0.306 0.306 0.544
6 O 0.202 0.725 0.803
7 O 0.694 0.694 0.456
8 O 0.725 0.202 0.803
9 Sn 0.076 0.076 0.661
10 Sn 0.924 0.924 0.339
11 Li 0.655 0.345 0.500
12 Li 0.345 0.655 0.500

Calculated values
- Final energy: -66.55 eV per cell
- Formation energy from raw total energies: -1.76 eV per atom
- Space-group type: C2/m

---

No. 25
Here is Dy7ErTm12 after structural relaxation from the Alexandria database. Energies are from PBE.

a b c (Å): 8.561 8.561 8.561
angles (deg): 95.09 95.09 95.09
Sites, in units of the cell vectors:
1 Dy 0.914 0.646 0.977
2 Dy 0.977 0.914 0.646
3 Dy 0.354 0.023 0.086
4 Dy 0.646 0.977 0.914
5 Dy 0.086 0.354 0.023
6 Dy 0.500 0.500 0.500
7 Dy 0.023 0.086 0.354
8 Er 0.000 0.000 0.000
9 Tm 0.816 0.251 0.687
10 Tm 0.419 0.484 0.149
11 Tm 0.149 0.419 0.484
12 Tm 0.851 0.581 0.516
13 Tm 0.484 0.149 0.419
14 Tm 0.687 0.816 0.251
15 Tm 0.581 0.516 0.851
16 Tm 0.184 0.749 0.313
17 Tm 0.313 0.184 0.749
18 Tm 0.251 0.687 0.816
19 Tm 0.749 0.313 0.184
20 Tm 0.516 0.851 0.581

Calculated values
- Calculated formation energy: 0.31 eV per atom
- Final energy: -84.22 eV per cell
- Space-group type: R-3